DFT (PBE+U) results for a relaxed structure of RbFeClF2.

POSCAR file:
```
RbFeClF2
1.0
4.339 0.000 0.000
0.000 4.339 0.000
0.000 0.000 4.917
Rb Fe Cl F
1 1 1 2
Direct
0.000 0.000 0.000
0.500 0.500 0.500
0.500 0.500 0.000
0.000 0.500 0.500
0.500 0.000 0.500
```



DFT (PBE+U) results for a relaxed structure of RbFeCl2F.

POSCAR file:
```
RbFeCl2F
1.0
5.215 0.000 0.000
0.000 5.215 0.000
0.000 0.000 4.085
Rb Fe Cl F
1 1 2 1
Direct
0.000 0.000 0.000
0.500 0.500 0.500
0.000 0.500 0.500
0.500 0.000 0.500
0.500 0.500 0.000
```



DFT (PBE+U) results for a relaxed structure of Fe2RuClF.

POSCAR file:
```
Fe2RuClF
1.0
4.925 0.000 0.000
0.000 4.925 0.000
0.000 0.000 4.113
Fe Ru Cl F
2 1 1 1
Direct
0.000 0.500 0.000
0.500 0.000 0.000
0.000 0.000 0.000
0.500 0.500 0.500
0.000 0.000 0.500
```



DFT (PBE+U) results for a relaxed structure of FeS2ClF.

POSCAR file:
```
FeS2ClF
1.0
4.654 0.000 0.000
0.000 4.654 0.000
0.000 0.000 4.728
Fe S Cl F
1 2 1 1
Direct
0.000 0.000 0.000
0.000 0.500 0.000
0.500 0.000 0.000
0.000 0.000 0.500
0.500 0.500 0.500
```

Output
excess energy over the best structure of this formula in the dataset = 0.000 eV/atom



For the records above, the corresponding D(E_F) values read 3.6, 0.0, 2.8, 3.9 states/eV/cell.
For the records above, the corresponding magnetic moment values read 0.800, 0.802, 1.764, 0.502 μB/atom.
For the records above, the corresponding total energy values read -4.403, -4.282, -4.524, -3.221 eV/atom.